The following is a DFT calculation (PBE) of a relaxed ZnOs2Ru crystal.

Cell: 4.7969 4.7969 2.7298 Å, 90.00 90.00 114.67°
Atoms (fractional coordinates):
1 Os 0.0000 0.0000 0.0000
2 Os 0.5000 0.5000 0.0000
3 Ru 0.5000 0.0000 0.5000
4 Zn 0.0000 0.5000 0.5000

Calculated volume: 57 Å³/f.u.
Energy of formation from the pure elements: 0.350 eV/atom
Theoretical density: 15.9 Mg/m³



The following is a DFT calculation (PBE) of a relaxed ZnOs2Ru crystal.

Cell: 5.1404 5.1404 5.1404 Å, 147.29 128.98 61.94°
Atoms (fractional coordinates):
1 Os 0.0112 0.0112 0.0000
2 Os 0.4888 0.4888 0.0000
3 Ru 0.7500 0.2500 0.5000
4 Zn 0.2500 0.7500 0.5000

Calculated volume: 57 Å³/f.u.
Energy of formation from the pure elements: 0.315 eV/atom
Theoretical density: 16.1 Mg/m³



The following is a DFT calculation (PBE) of a relaxed ZnOs2Ru crystal.

Cell: 2.7598 2.7598 7.4580 Å, 90.00 90.00 90.00°
Atoms (fractional coordinates):
1 Os 0.0000 0.0000 0.0051
2 Os 0.5000 0.5000 0.2496
3 Ru 0.0000 0.0000 0.4971
4 Zn 0.5000 0.5000 0.7482

Calculated volume: 57 Å³/f.u.
Energy of formation from the pure elements: 0.148 eV/atom
Theoretical density: 16.0 Mg/m³



The following is a DFT calculation (PBE) of a relaxed ZnOs2Ru crystal.

Cell: 5.0985 5.0985 5.0985 Å, 146.83 128.39 62.74°
Atoms (fractional coordinates):
1 Os 0.0092 0.0092 0.0000
2 Os 0.7523 0.2523 0.5000
3 Ru 0.4881 0.4881 0.0000
4 Zn 0.2504 0.7504 0.5000

Calculated volume: 56 Å³/f.u.
Energy of formation from the pure elements: 0.341 eV/atom
Theoretical density: 16.1 Mg/m³



The following is a DFT calculation (PBE) of a relaxed ZnOs2Ru crystal.

Cell: 2.7014 2.7014 9.0837 Å, 90.00 90.00 118.34°
Atoms (fractional coordinates):
1 Os 0.0000 0.0000 0.9992
2 Os 0.5000 0.5000 0.2518
3 Ru 0.0000 0.0000 0.5015
4 Zn 0.5000 0.5000 0.7475

Calculated volume: 58 Å³/f.u.
Energy of formation from the pure elements: 0.442 eV/atom
Theoretical density: 15.6 Mg/m³



The following is a DFT calculation (PBE) of a relaxed ZnOsRu crystal.

Cell: 4.6502 4.6502 4.6502 Å, 145.25 132.20 60.44°
Atoms (fractional coordinates):
1 Os 0.9956 0.9956 0.0000
2 Ru 0.3378 0.3378 0.0000
3 Zn 0.6666 0.6666 0.0000

Calculated volume: 42 Å³/f.u.
Energy of formation from the pure elements: 0.144 eV/atom
Theoretical density: 14.1 Mg/m³
Energy above the most stable polymorph in this dataset: 0.129 eV/atom



The following is a DFT calculation (PBE) of a relaxed ZnOsRu crystal.

Cell: 2.7551 2.7551 11.3044 Å, 90.00 90.00 90.00°
Atoms (fractional coordinates):
1 Zn 0.0000 0.5000 0.5886
2 Zn 0.5000 0.0000 0.4114
3 Ru 0.0000 0.5000 0.2454
4 Ru 0.5000 0.0000 0.7546
5 Os 0.5000 0.0000 0.0909
6 Os 0.0000 0.5000 0.9091

Calculated volume: 43 Å³/f.u.
Energy of formation from the pure elements: 0.015 eV/atom
Theoretical density: 13.8 Mg/m³
Energy above the most stable polymorph in this dataset: 0.000 eV/atom



The following is a DFT calculation (PBE) of a relaxed ZnOs2Ru crystal.

Cell: 4.3226 4.3226 4.3226 Å, 60.00 60.00 60.00°
Atoms (fractional coordinates):
1 Os 0.0000 0.0000 0.0000
2 Os 0.2500 0.2500 0.2500
3 Ru 0.5000 0.5000 0.5000
4 Zn 0.7500 0.7500 0.7500

Calculated volume: 57 Å³/f.u.
Energy of formation from the pure elements: 0.403 eV/atom
Theoretical density: 15.9 Mg/m³



The following is a DFT calculation (PBE) of a relaxed ZnOsRu crystal.

Cell: 2.7398 2.7398 6.5762 Å, 90.00 90.00 120.00°
Atoms (fractional coordinates):
1 Os 0.0000 0.0000 0.0099
2 Ru 0.6667 0.3333 0.3254
3 Zn 0.3333 0.6667 0.6647

Calculated volume: 43 Å³/f.u.
Energy of formation from the pure elements: 0.088 eV/atom
Theoretical density: 13.9 Mg/m³
Energy above the most stable polymorph in this dataset: 0.073 eV/atom



The following is a DFT calculation (PBE) of a relaxed ZrOsRu2 crystal.

Cell: 2.8466 2.8466 7.8440 Å, 90.00 90.00 90.00°
Atoms (fractional coordinates):
1 Os 0.5000 0.5000 0.7500
2 Ru 0.0000 0.0000 0.9724
3 Ru 0.0000 0.0000 0.5276
4 Zr 0.5000 0.5000 0.2500

Calculated volume: 64 Å³/f.u.
Energy of formation from the pure elements: 0.008 eV/atom
Theoretical density: 12.6 Mg/m³
Energy above the most stable polymorph in this dataset: 0.108 eV/atom



The following is a DFT calculation (PBE) of a relaxed ZrOsRu2 crystal.

Cell: 4.9165 4.9165 4.9165 Å, 132.63 132.63 69.23°
Atoms (fractional coordinates):
1 Os 0.7500 0.2500 0.5000
2 Ru 0.0000 0.0000 0.0000
3 Ru 0.2500 0.7500 0.5000
4 Zr 0.5000 0.5000 0.0000

Calculated volume: 63 Å³/f.u.
Energy of formation from the pure elements: -0.034 eV/atom
Theoretical density: 12.7 Mg/m³
Energy above the most stable polymorph in this dataset: 0.067 eV/atom



The following is a DFT calculation (PBE) of a relaxed Zr4Os2Ru crystal.

Cell: 5.6407 5.6407 5.6407 Å, 109.59 109.41 109.41°
Atoms (fractional coordinates):
1 Zr 0.5000 0.0000 0.0000
2 Zr 0.5000 0.5000 0.5000
3 Zr 0.0000 0.0000 0.5000
4 Zr 0.0000 0.5000 0.0000
5 Os 0.5000 0.5000 0.0000
6 Os 0.5000 0.0000 0.5000
7 Ru 0.0000 0.0000 0.0000

Calculated volume: 138 Å³/f.u.
Energy of formation from the pure elements: -0.386 eV/atom
Theoretical density: 10.2 Mg/m³



The following is a DFT calculation (PBE) of a relaxed Zr4OsRu3 crystal.

Cell: 3.2715 4.6443 9.2849 Å, 90.00 90.00 90.00°
Atoms (fractional coordinates):
1 Ru 0.5000 0.0000 0.2506
2 Ru 0.5000 0.5000 0.5000
3 Ru 0.5000 0.0000 0.7494
4 Os 0.5000 0.5000 0.0000
5 Zr 0.0000 0.0000 0.5000
6 Zr 0.0000 0.5000 0.7499
7 Zr 0.0000 0.0000 0.0000
8 Zr 0.0000 0.5000 0.2501

Calculated volume: 141 Å³/f.u.
Energy of formation from the pure elements: -0.615 eV/atom
Theoretical density: 10.1 Mg/m³



The following is a DFT calculation (PBE) of a relaxed Zr5OsRu4 crystal.

Cell: 3.2757 3.2757 16.3999 Å, 90.00 90.00 90.00°
Atoms (fractional coordinates):
1 Zr 0.5000 0.5000 0.1005
2 Zr 0.5000 0.5000 0.3004
3 Zr 0.5000 0.5000 0.5000
4 Zr 0.5000 0.5000 0.6996
5 Zr 0.5000 0.5000 0.8995
6 Os 0.0000 0.0000 0.0000
7 Ru 0.0000 0.0000 0.2008
8 Ru 0.0000 0.0000 0.4002
9 Ru 0.0000 0.0000 0.5998
10 Ru 0.0000 0.0000 0.7992

Calculated volume: 176 Å³/f.u.
Energy of formation from the pure elements: -0.622 eV/atom
Theoretical density: 9.9 Mg/m³



The following is a DFT calculation (PBE) of a relaxed ZrOsRu2 crystal.

Cell: 4.4988 4.4988 4.4988 Å, 60.00 60.00 60.00°
Atoms (fractional coordinates):
1 Ru 0.2500 0.2500 0.2500
2 Ru 0.7500 0.7500 0.7500
3 Os 0.5000 0.5000 0.5000
4 Zr 0.0000 0.0000 0.0000

Calculated volume: 64 Å³/f.u.
Energy of formation from the pure elements: 0.144 eV/atom
Theoretical density: 12.5 Mg/m³
Energy above the most stable polymorph in this dataset: 0.244 eV/atom



The following is a DFT calculation (PBE) of a relaxed ZrOsRu2 crystal.

Cell: 2.8453 3.8636 5.7996 Å, 90.00 90.00 90.00°
Atoms (fractional coordinates):
1 Os 0.5000 0.5000 0.7840
2 Ru 0.0000 0.0000 0.9898
3 Ru 0.5000 0.5000 0.2301
4 Zr 0.0000 0.0000 0.4961

Calculated volume: 64 Å³/f.u.
Energy of formation from the pure elements: -0.007 eV/atom
Theoretical density: 12.6 Mg/m³
Energy above the most stable polymorph in this dataset: 0.093 eV/atom



The following is a DFT calculation (PBE) of a relaxed ZrOsRu2 crystal.

Cell: 3.9489 3.9887 3.9887 Å, 90.00 90.00 90.00°
Atoms (fractional coordinates):
1 Os 0.5000 0.0000 0.5000
2 Ru 0.0000 0.0000 0.0000
3 Ru 0.0000 0.5000 0.5000
4 Zr 0.5000 0.5000 0.0000

Calculated volume: 63 Å³/f.u.
Energy of formation from the pure elements: -0.100 eV/atom
Theoretical density: 12.8 Mg/m³
Energy above the most stable polymorph in this dataset: 0.000 eV/atom



The following is a DFT calculation (PBE) of a relaxed ZrOsRu3 crystal.

Cell: 4.6520 4.6520 4.6520 Å, 90.00 90.00 90.00°
Atoms (fractional coordinates):
1 Ru 0.0000 0.5000 0.0000
2 Ru 0.0000 0.0000 0.5000
3 Ru 0.5000 0.0000 0.0000
4 Os 0.0000 0.0000 0.0000
5 Zr 0.5000 0.5000 0.5000

Calculated volume: 101 Å³/f.u.
Energy of formation from the pure elements: 1.183 eV/atom
Theoretical density: 9.6 Mg/m³



The following is a DFT calculation (PBE) of a relaxed ZrOsRu2 crystal.

Cell: 4.5776 4.5776 3.0274 Å, 90.00 90.00 90.00°
Atoms (fractional coordinates):
1 Os 0.0000 0.5000 0.5000
2 Ru 0.0000 0.0000 0.0000
3 Ru 0.5000 0.5000 0.0000
4 Zr 0.5000 0.0000 0.5000

Calculated volume: 63 Å³/f.u.
Energy of formation from the pure elements: 0.050 eV/atom
Theoretical density: 12.7 Mg/m³
Energy above the most stable polymorph in this dataset: 0.150 eV/atom



The following is a DFT calculation (PBE) of a relaxed ZrOsRu2 crystal.

Cell: 4.8797 4.8797 4.8242 Å, 79.45 79.45 34.22°
Atoms (fractional coordinates):
1 Os 0.7382 0.7382 0.7902
2 Ru 0.0001 0.0001 0.9826
3 Ru 0.2614 0.2614 0.2359
4 Zr 0.5003 0.5003 0.4912

Calculated volume: 63 Å³/f.u.
Energy of formation from the pure elements: -0.043 eV/atom
Theoretical density: 12.7 Mg/m³
Energy above the most stable polymorph in this dataset: 0.058 eV/atom